Entry from Alexandria via LeMat-Bulk: a geometry-optimized AcDyAu3 structure (PBE).

It has space group Cmcm (No. 63), with a = 3.870 Å, b = 28.426 Å, c = 4.677 Å, α = 90.00°, β = 90.00° and γ = 90.00°. The distinct sites, in fractional coordinates, are Ac at (0.000, 0.075, 0.250), Dy at (0.000, 0.207, 0.750), Au at (0.000, 0.312, 0.750), Au at (0.000, 0.374, 0.250) and Au at (0.000, 0.473, 0.250).

The calculation puts the total energy at -91.14 eV/cell. Its total magnetization is 0.00 μB/cell. The calculation puts the formation energy from the elements at -0.848 eV per atom. As for the crystal system: orthorhombic.